No. 1
Here is an optimized crystal structure of PrGdZn2Ge2 from OQMD via LeMat-Bulk. Energies are from PBE.

a = 4.2876 Å, b = 4.2876 Å, c = 16.2054 Å
α = 90.00°, β = 90.00°, γ = 120.00°
Closest atoms and distances in Å follow each position.
Fractional positions:
1 Gd 0.0000 0.0000 0.2500  6 Zn 2.97, 6 Ge 3.26
2 Gd 0.0000 0.0000 0.7500  6 Zn 2.97, 6 Ge 3.26
3 Ge 0.6667 0.3333 0.1187  3 Zn 2.52
4 Ge 0.6667 0.3333 0.3813  3 Zn 2.52
5 Ge 0.3333 0.6667 0.6187  3 Zn 2.52
6 Ge 0.3333 0.6667 0.8813  3 Zn 2.52
7 Pr 0.0000 0.0000 0.0000  6 Ge 3.14, 6 Zn 3.45
8 Pr 0.0000 0.0000 0.5000  6 Ge 3.14, 6 Zn 3.45
9 Zn 0.3333 0.6667 0.1482  3 Ge 2.52
10 Zn 0.3333 0.6667 0.3518  3 Ge 2.52
11 Zn 0.6667 0.3333 0.6482  3 Ge 2.52
12 Zn 0.6667 0.3333 0.8518  3 Ge 2.52

## Properties
Excess energy over the best structure of this formula in the dataset (eV/atom): 0.000
Crystal system: hexagonal
VASP energy (eV/cell): -50.7


No. 2
Here is an optimized crystal structure of PrGd3Zn12Ge6 from OQMD via LeMat-Bulk. Energies are from PBE.

a = 7.6262 Å, b = 4.0535 Å, c = 13.2108 Å
α = 90.00°, β = 90.00°, γ = 90.00°
Closest atoms and distances in Å follow each position.
Fractional positions:
1 Gd 0.5003 0.0000 0.1678  6 Ge 3.09-3.11, 9 Zn 3.20-3.42
2 Gd 0.0000 0.0000 0.3332  6 Ge 3.11, 9 Zn 3.23-3.41
3 Gd 0.9999 0.0000 0.6655  6 Ge 3.09-3.11, 9 Zn 3.22-3.43
4 Ge 0.6136 0.5000 0.0037  5 Zn 2.51-2.67
5 Ge 0.1945 0.5000 0.1940  5 Zn 2.49-2.65
6 Ge 0.6939 0.5000 0.3062  5 Zn 2.48-2.65
7 Ge 0.1131 0.5000 0.4994  5 Zn 2.49-2.65
8 Ge 0.6971 0.5000 0.6910  5 Zn 2.51-2.67
9 Ge 0.1879 0.5000 0.8056  5 Zn 2.51-2.68
10 Pr 0.4999 0.0000 0.8335  6 Ge 3.15, 9 Zn 3.25-3.42
11 Zn 0.2850 0.5000 0.0003  3 Ge 2.51-2.68, 2 Zn 2.78
12 Zn 0.8097 0.0000 0.0026  4 Zn 2.51-2.78, 2 Ge 2.52
13 Zn 0.0972 0.0000 0.0954  6 Zn 2.51-2.80, 2 Ge 2.52
14 Zn 0.8592 0.5000 0.1442  3 Ge 2.48-2.64
15 Zn 0.3572 0.5000 0.3572  3 Ge 2.49-2.65
16 Zn 0.5953 0.0000 0.4040  6 Zn 2.51-2.79, 2 Ge 2.52
17 Zn 0.7868 0.5000 0.4985  3 Ge 2.49-2.64
18 Zn 0.3095 0.0000 0.4999  6 Zn 2.52-2.79, 2 Ge 2.52
19 Zn 0.5969 0.0000 0.5937  6 Zn 2.51-2.81, 2 Ge 2.52
20 Zn 0.3570 0.5000 0.6424  3 Ge 2.51-2.67, 4 Zn 2.79-2.81
21 Zn 0.8550 0.5000 0.8576  3 Ge 2.51-2.67, 2 Zn 2.78
22 Zn 0.0911 0.0000 0.9043  4 Zn 2.51-2.78, 2 Ge 2.52

## Properties
Crystal system: monoclinic
VASP energy (eV/cell): -70.5


No. 3
Here is an optimized crystal structure of Gd2Ge2Pt from OQMD via LeMat-Bulk. Energies are from PBE.

a = 5.7245 Å, b = 5.7245 Å, c = 10.4931 Å
α = 115.30°, β = 115.30°, γ = 44.88°
Closest atoms and distances in Å follow each position.
Fractional positions:
1 Gd 0.1886 0.1886 0.1143  6 Ge 3.05-3.13, 2 Pt 3.08
2 Gd 0.0092 0.0092 0.3290  4 Pt 3.02-3.33, 7 Ge 3.04-3.29
3 Gd 0.9908 0.9908 0.6710  4 Pt 3.02-3.33, 7 Ge 3.04-3.29
4 Gd 0.8114 0.8114 0.8857  6 Ge 3.05-3.13, 2 Pt 3.08
5 Ge 0.4760 0.4760 0.1131  1 Pt 2.60, 1 Ge 2.65
6 Ge 0.3547 0.3547 0.4472  3 Pt 2.55-2.79, 1 Ge 2.74
7 Ge 0.6453 0.6453 0.5528  3 Pt 2.55-2.79, 1 Ge 2.74
8 Ge 0.5240 0.5240 0.8869  1 Pt 2.60, 1 Ge 2.65
9 Pt 0.7267 0.7267 0.3355  4 Ge 2.55-2.79
10 Pt 0.2733 0.2733 0.6645  4 Ge 2.55-2.79

## Properties
Crystal system: monoclinic
VASP energy (eV/cell): -59.4


No. 4
Here is an optimized crystal structure of Gd3Ge13Pt4 from OQMD via LeMat-Bulk. Energies are from PBE.

a = 9.1090 Å, b = 9.1090 Å, c = 9.1681 Å
α = 90.28°, β = 90.28°, γ = 89.90°
Closest atoms and distances in Å follow each position.
Fractional positions:
1 Gd 0.0002 0.0000 0.0035  9 Ge 3.06-3.37, 4 Pt 3.16-3.23
2 Gd 0.5021 0.2514 0.2484  11 Ge 3.06-3.35, 4 Pt 3.18-3.28
3 Gd 0.5010 0.7457 0.2506  10 Ge 3.02-3.33, 4 Pt 3.21-3.26
4 Gd 0.0000 0.0002 0.5035  9 Ge 3.06-3.37, 4 Pt 3.16-3.23
5 Gd 0.2514 0.5021 0.7484  11 Ge 3.06-3.35, 4 Pt 3.18-3.28
6 Gd 0.7457 0.5010 0.7506  10 Ge 3.02-3.33, 4 Pt 3.21-3.26
7 Ge 0.6109 0.9958 0.0112  2 Ge 2.57-2.66, 2 Pt 2.59-2.63
8 Ge 0.3335 0.9992 0.1004  2 Pt 2.56, 2 Ge 2.66-2.70
9 Ge 0.3217 0.4967 0.1077  2 Pt 2.59, 3 Ge 2.79-2.81
10 Ge 0.7415 0.4968 0.1409  2 Ge 2.53-2.67, 2 Pt 2.58-2.61
11 Ge 0.1115 0.2542 0.2483  2 Ge 2.52-2.67, 2 Pt 2.59-2.61
12 Ge 0.1179 0.7741 0.2504  2 Pt 2.60-2.61, 2 Ge 2.68-2.75
13 Ge 0.9967 0.5061 0.2509  5 Ge 2.52-2.68
14 Ge 0.8356 0.1544 0.2516  2 Pt 2.57, 2 Ge 2.67-2.71
15 Ge 0.8270 0.8565 0.2549  2 Pt 2.56-2.60, 2 Ge 2.71-2.75
16 Ge 0.3280 0.9986 0.3948  2 Pt 2.54-2.60, 2 Ge 2.70
17 Ge 0.3401 0.4995 0.4113  2 Pt 2.54-2.60, 2 Ge 2.79-2.81
18 Ge 0.6524 0.5041 0.4175  2 Pt 2.56-2.59, 3 Ge 2.67-2.85
19 Ge 0.6120 0.0037 0.4794  2 Pt 2.58-2.62, 2 Ge 2.67-2.70
20 Ge 0.9958 0.6109 0.5112  2 Ge 2.57-2.66, 2 Pt 2.59-2.63
21 Ge 0.9992 0.3335 0.6004  2 Pt 2.56, 2 Ge 2.66-2.70
22 Ge 0.4967 0.3217 0.6077  2 Pt 2.59, 3 Ge 2.79-2.81
23 Ge 0.4968 0.7415 0.6409  2 Ge 2.53-2.67, 2 Pt 2.58-2.61
24 Ge 0.2542 0.1115 0.7483  2 Ge 2.52-2.67, 2 Pt 2.59-2.61
25 Ge 0.7741 0.1179 0.7504  2 Pt 2.60-2.61, 2 Ge 2.68-2.75
26 Ge 0.5061 0.9967 0.7509  5 Ge 2.52-2.68
27 Ge 0.1544 0.8356 0.7516  2 Pt 2.57, 2 Ge 2.67-2.71
28 Ge 0.8565 0.8270 0.7549  2 Pt 2.56-2.60, 2 Ge 2.71-2.75
29 Ge 0.9986 0.3280 0.8948  2 Pt 2.54-2.60, 2 Ge 2.70
30 Ge 0.4995 0.3401 0.9113  2 Pt 2.54-2.60, 2 Ge 2.79-2.81
31 Ge 0.5041 0.6524 0.9175  2 Pt 2.56-2.59, 3 Ge 2.67-2.85
32 Ge 0.0037 0.6120 0.9794  2 Pt 2.58-2.62, 2 Ge 2.67-2.70
33 Pt 0.2500 0.7497 0.0010  6 Ge 2.56-2.60
34 Pt 0.7472 0.2495 0.0022  6 Ge 2.54-2.63
35 Pt 0.7524 0.7489 0.0064  6 Ge 2.56-2.62
36 Pt 0.2454 0.2449 0.4976  6 Ge 2.54-2.61
37 Pt 0.7497 0.2500 0.5010  6 Ge 2.56-2.60
38 Pt 0.2495 0.7472 0.5022  6 Ge 2.54-2.63
39 Pt 0.7489 0.7524 0.5064  6 Ge 2.56-2.62
40 Pt 0.2449 0.2454 0.9976  6 Ge 2.54-2.61

## Properties
Crystal system: monoclinic
VASP energy (eV/cell): -217.8


No. 5
Here is an optimized crystal structure of GdGe2Pt from OQMD via LeMat-Bulk. Energies are from PBE.

a = 9.5773 Å, b = 9.5773 Å, c = 9.5773 Å
α = 153.60°, β = 125.41°, γ = 61.63°
Closest atoms and distances in Å follow each position.
Fractional positions:
1 Gd 0.2023 0.2023 0.0000  8 Ge 3.03-3.08, 6 Pt 3.23-3.29
2 Gd 0.7977 0.7977 0.0000  8 Ge 3.03-3.08, 6 Pt 3.23-3.29
3 Gd 0.2405 0.0000 0.2405  10 Ge 3.28-3.41, 4 Pt 3.28
4 Gd 0.7595 0.0000 0.7595  10 Ge 3.28-3.41, 4 Pt 3.28
5 Ge 0.4259 0.4259 0.0000  1 Ge 2.44, 2 Pt 2.51
6 Ge 0.5741 0.5741 0.0000  1 Ge 2.44, 2 Pt 2.51
7 Ge 0.5489 0.1988 0.3501  3 Pt 2.50-2.67, 1 Ge 2.63
8 Ge 0.1513 0.8012 0.3501  3 Pt 2.50-2.67, 1 Ge 2.63
9 Ge 0.9258 0.4258 0.5000  1 Ge 2.44, 2 Pt 2.52
10 Ge 0.0742 0.5742 0.5000  1 Ge 2.44, 2 Pt 2.52
11 Ge 0.8487 0.1988 0.6499  3 Pt 2.50-2.67, 1 Ge 2.63
12 Ge 0.4511 0.8012 0.6499  3 Pt 2.50-2.67, 1 Ge 2.63
13 Pt 0.6006 0.3515 0.2491  5 Ge 2.50-2.67
14 Pt 0.8976 0.6485 0.2491  5 Ge 2.50-2.67
15 Pt 0.1024 0.3515 0.7509  5 Ge 2.50-2.67
16 Pt 0.3994 0.6485 0.7509  5 Ge 2.50-2.67

## Properties
Crystal system: orthorhombic
VASP energy (eV/cell): -94.0


No. 6
Here is an optimized crystal structure of Gd3GePt4 from OQMD via LeMat-Bulk. Energies are from PBE.

a = 5.6793 Å, b = 4.2495 Å, c = 7.0605 Å
α = 90.00°, β = 91.19°, γ = 90.00°
Closest atoms and distances in Å follow each position.
Fractional positions:
1 Gd 0.3691 0.0000 0.1748  7 Pt 2.84-2.97
2 Gd 0.1293 0.0000 0.6740  5 Pt 2.86-2.91
3 Gd 0.6401 0.5000 0.8107  7 Pt 2.95-3.12
4 Ge 0.8714 0.5000 0.3355  5 Pt 2.64-2.76
5 Pt 0.8554 0.0000 0.0877  2 Ge 2.75, 2 Gd 2.84-2.97, 2 Pt 2.89
6 Pt 0.3175 0.5000 0.4476  1 Ge 2.64, 4 Gd 2.88-2.89, 2 Pt 2.92
7 Pt 0.6617 0.0000 0.5149  2 Ge 2.76, 4 Gd 2.86-2.98, 2 Pt 2.92
8 Pt 0.1555 0.5000 0.9548  6 Gd 2.88-3.08, 2 Pt 2.89, 1 Ge 3.16

## Properties
Crystal system: monoclinic
VASP energy (eV/cell): -50.9


No. 7
Here is an optimized crystal structure of TbGdGe2Pt from OQMD via LeMat-Bulk. Energies are from PBE.

a = 5.7139 Å, b = 5.7139 Å, c = 10.4716 Å
α = 115.29°, β = 115.29°, γ = 44.94°
Closest atoms and distances in Å follow each position.
Fractional positions:
1 Gd 0.9906 0.9906 0.1711  4 Pt 3.01-3.33, 7 Ge 3.03-3.29
2 Gd 0.0094 0.0094 0.8289  4 Pt 3.01-3.33, 7 Ge 3.03-3.29
3 Ge 0.6451 0.6451 0.0524  3 Pt 2.55-2.79, 1 Ge 2.74
4 Ge 0.5239 0.5239 0.3871  1 Pt 2.59, 1 Ge 2.64
5 Ge 0.4761 0.4761 0.6129  1 Pt 2.59, 1 Ge 2.64
6 Ge 0.3549 0.3549 0.9476  3 Pt 2.55-2.79, 1 Ge 2.74
7 Pt 0.2728 0.2728 0.1655  4 Ge 2.55-2.79
8 Pt 0.7272 0.7272 0.8345  4 Ge 2.55-2.79
9 Tb 0.8112 0.8112 0.3856  6 Ge 3.04-3.13, 2 Pt 3.06
10 Tb 0.1888 0.1888 0.6144  6 Ge 3.04-3.13, 2 Pt 3.06

## Properties
Crystal system: monoclinic
VASP energy (eV/cell): -59.3


No. 8
Here is an optimized crystal structure of RbGdGe from OQMD via LeMat-Bulk. Energies are from PBE.

a = 5.3125 Å, b = 5.3125 Å, c = 5.3125 Å
α = 60.00°, β = 60.00°, γ = 60.00°
Closest atoms and distances in Å follow each position.
Fractional positions:
1 Gd 0.2500 0.2500 0.2500  4 Ge 3.25
2 Ge 0.0000 0.0000 0.0000  4 Rb 3.25, 4 Gd 3.25
3 Rb 0.7500 0.7500 0.7500  4 Ge 3.25

## Properties
Crystal system: cubic
VASP energy (eV/cell): -9.8


Number 1: volume 21.50 A^3/atom, calculated density 7.4 g/cm3. Number 2: volume 18.56 A^3/atom, calculated density 7.5 g/cm3. Number 3: volume 21.51 A^3/atom, calculated density 10.1 g/cm3. Number 4: volume 19.02 A^3/atom, calculated density 9.6 g/cm3. Number 5: volume 19.75 A^3/atom, calculated density 10.5 g/cm3. Number 6: volume 21.29 A^3/atom, calculated density 12.9 g/cm3. Number 7: volume 21.41 A^3/atom, calculated density 10.2 g/cm3. Number 8: volume 35.34 A^3/atom, calculated density 4.9 g/cm3.